# 1
Entry from the Alexandria database: an optimized crystal structure of Pm2InH2 (PBE).

Lattice parameters (Å, degrees): 3.9652 3.9652 12.1707 90.00 90.00 90.00
Fractional coordinates of all 10 atoms:
Pm  0.0000  0.0000  0.1513
Pm  0.0000  0.0000  0.8487
Pm  0.5000  0.5000  0.3487
Pm  0.5000  0.5000  0.6513
In  0.0000  0.0000  0.5000
In  0.5000  0.5000  0.0000
H  0.0000  0.5000  0.2500
H  0.0000  0.5000  0.7500
H  0.5000  0.0000  0.2500
H  0.5000  0.0000  0.7500

Calculated total energy in eV per atom: -4.4054
V in Å³/atom: 19.14
Space-group type: I4/mmm, No. 139

---

# 2
Entry from the Alexandria database: an optimized crystal structure of SrTmHgGe (PBE).

Lattice parameters (Å, degrees): 7.5100 7.5100 7.5100 90.00 90.00 90.00
Fractional coordinates of all 16 atoms:
Sr  0.0000  0.0000  0.0000
Sr  0.0000  0.5000  0.5000
Sr  0.5000  0.0000  0.5000
Sr  0.5000  0.5000  0.0000
Tm  0.0000  0.0000  0.5000
Tm  0.0000  0.5000  0.0000
Tm  0.5000  0.0000  0.0000
Tm  0.5000  0.5000  0.5000
Hg  0.2500  0.2500  0.2500
Hg  0.2500  0.7500  0.7500
Hg  0.7500  0.2500  0.7500
Hg  0.7500  0.7500  0.2500
Ge  0.2500  0.2500  0.7500
Ge  0.2500  0.7500  0.2500
Ge  0.7500  0.2500  0.2500
Ge  0.7500  0.7500  0.7500

ΔH_f (0 K) in meV per atom: -451
V in Å³/atom: 26.47
Space-group type: F-43m, No. 216

---

# 3
Entry from the Alexandria database: an optimized crystal structure of Li4InTe (PBE).

Lattice parameters (Å, degrees): 5.5721 5.5721 5.5721 60.00 60.00 60.00
Fractional coordinates of all 6 atoms:
Li  0.3758  0.3758  0.3758
Li  0.3758  0.3758  0.8725
Li  0.3758  0.8725  0.3758
Li  0.8725  0.3758  0.3758
In  0.7500  0.7500  0.7500
Te  0.0000  0.0000  0.0000

V in Å³/atom: 20.39
Space-group type: F-43m, No. 216
Energy relative to the elements, uncorrected in eV/atom: -0.19

---

Which formula does entry 1 have? Pm2InH2